1.
# PBE Tb4Sm3Dy2, optimized geometry
data_Tb4Sm3Dy2
_space_group_name_H-M_alt 'P 1'
_space_group_IT_number 1
_cell_length_a 3.576
_cell_length_b 6.197
_cell_length_c 15.176
_cell_angle_alpha 65.88
_cell_angle_beta 90.00
_cell_angle_gamma 106.77
loop_
_space_group_symop_operation_xyz
'x,y,z'
loop_
_atom_site_label
_atom_site_type_symbol
_atom_site_fract_x
_atom_site_fract_y
_atom_site_fract_z
_atom_site_occupancy
Sm1 Sm 0.000 0.000 0.000 1
Sm2 Sm 0.333 0.667 0.556 1
Sm3 Sm 0.667 0.333 0.444 1
Dy1 Dy 0.667 0.334 0.779 1
Dy2 Dy 0.333 0.666 0.221 1
Tb1 Tb 0.000 0.000 0.668 1
Tb2 Tb 0.333 0.666 0.889 1
Tb3 Tb 0.000 0.000 0.332 1
Tb4 Tb 0.667 0.334 0.111 1
# E   -4.64 eV per atom
# Energy above the most stable polymorph in this dataset   0 meV per atom

---

2.
# PBE Tb6SmDy8, optimized geometry
data_Tb6SmDy8
_space_group_name_H-M_alt 'P 1'
_space_group_IT_number 1
_cell_length_a 9.037
_cell_length_b 9.037
_cell_length_c 8.615
_cell_angle_alpha 58.37
_cell_angle_beta 58.37
_cell_angle_gamma 60.00
loop_
_space_group_symop_operation_xyz
'x,y,z'
loop_
_atom_site_label
_atom_site_type_symbol
_atom_site_fract_x
_atom_site_fract_y
_atom_site_fract_z
_atom_site_occupancy
Dy1 Dy 0.256 0.279 0.576 1
Dy2 Dy 0.111 0.744 0.424 1
Dy3 Dy 0.744 0.721 0.424 1
Dy4 Dy 0.889 0.256 0.576 1
Dy5 Dy 0.423 0.423 0.730 1
Dy6 Dy 0.577 0.577 0.270 1
Dy7 Dy 0.721 0.111 0.424 1
Dy8 Dy 0.279 0.889 0.576 1
Tb1 Tb 0.768 0.461 0.877 1
Tb2 Tb 0.539 0.107 0.123 1
Tb3 Tb 0.232 0.539 0.123 1
Tb4 Tb 0.893 0.768 0.877 1
Tb5 Tb 0.461 0.893 0.877 1
Tb6 Tb 0.107 0.232 0.123 1
Sm1 Sm 0.000 0.000 0.000 1
# E   -4.49 eV per atom

---

3.
# PBE Tb3Sm6Dy, optimized geometry
data_Tb3Sm6Dy
_space_group_name_H-M_alt 'P 1'
_space_group_IT_number 1
_cell_length_a 6.420
_cell_length_b 11.706
_cell_length_c 11.706
_cell_angle_alpha 130.68
_cell_angle_beta 90.00
_cell_angle_gamma 90.00
loop_
_space_group_symop_operation_xyz
'x,y,z'
loop_
_atom_site_label
_atom_site_type_symbol
_atom_site_fract_x
_atom_site_fract_y
_atom_site_fract_z
_atom_site_occupancy
Sm1 Sm 0.569 0.259 0.380 1
Sm2 Sm 0.069 0.741 0.620 1
Sm3 Sm 0.325 0.456 0.894 1
Sm4 Sm 0.825 0.894 0.456 1
Sm5 Sm 0.825 0.544 0.106 1
Sm6 Sm 0.569 0.620 0.741 1
Sm7 Sm 0.819 0.016 0.984 1
Sm8 Sm 0.296 0.699 0.301 1
Sm9 Sm 0.796 0.301 0.699 1
Sm10 Sm 0.319 0.984 0.016 1
Sm11 Sm 0.325 0.106 0.544 1
Sm12 Sm 0.069 0.380 0.259 1
Tb1 Tb 0.489 0.959 0.706 1
Tb2 Tb 0.989 0.041 0.294 1
Tb3 Tb 0.489 0.294 0.041 1
Tb4 Tb 0.989 0.706 0.959 1
Tb5 Tb 0.590 0.580 0.420 1
Tb6 Tb 0.090 0.420 0.580 1
Dy1 Dy 0.015 0.159 0.841 1
Dy2 Dy 0.515 0.841 0.159 1
# E   -4.56 eV per atom
# Energy above the most stable polymorph in this dataset   0 meV per atom

---

4.
# PBE Tb4Sm4Dy, optimized geometry
data_Tb4Sm4Dy
_space_group_name_H-M_alt 'P 1'
_space_group_IT_number 1
_cell_length_a 5.070
_cell_length_b 8.025
_cell_length_c 8.025
_cell_angle_alpha 84.27
_cell_angle_beta 71.59
_cell_angle_gamma 71.59
loop_
_space_group_symop_operation_xyz
'x,y,z'
loop_
_atom_site_label
_atom_site_type_symbol
_atom_site_fract_x
_atom_site_fract_y
_atom_site_fract_z
_atom_site_occupancy
Tb1 Tb 0.334 0.000 0.332 1
Tb2 Tb 0.666 0.668 0.000 1
Tb3 Tb 0.334 0.332 0.000 1
Tb4 Tb 0.666 0.000 0.668 1
Sm1 Sm 0.000 0.332 0.668 1
Sm2 Sm 0.668 0.332 0.332 1
Sm3 Sm 0.000 0.668 0.332 1
Sm4 Sm 0.332 0.668 0.668 1
Dy1 Dy 0.000 0.000 0.000 1
# E   -4.65 eV per atom
# Energy above the most stable polymorph in this dataset   0 meV per atom

---

5.
# PBE TbSm2Dy6, optimized geometry
data_TbSm2Dy6
_space_group_name_H-M_alt 'P 1'
_space_group_IT_number 1
_cell_length_a 6.195
_cell_length_b 6.153
_cell_length_c 10.733
_cell_angle_alpha 73.05
_cell_angle_beta 54.61
_cell_angle_gamma 59.76
loop_
_space_group_symop_operation_xyz
'x,y,z'
loop_
_atom_site_label
_atom_site_type_symbol
_atom_site_fract_x
_atom_site_fract_y
_atom_site_fract_z
_atom_site_occupancy
Dy1 Dy 0.666 0.166 0.502 1
Dy2 Dy 0.999 0.834 0.169 1
Dy3 Dy 0.335 0.166 0.166 1
Dy4 Dy 0.001 0.166 0.831 1
Dy5 Dy 0.334 0.834 0.498 1
Dy6 Dy 0.665 0.834 0.834 1
Sm1 Sm 0.332 0.505 0.833 1
Sm2 Sm 0.668 0.495 0.167 1
Tb1 Tb 0.000 0.500 0.500 1
# E   -4.67 eV per atom
# Energy above the most stable polymorph in this dataset   0 meV per atom

---

6.
# PBE Tb6Sm8Dy, optimized geometry
data_Tb6Sm8Dy
_space_group_name_H-M_alt 'P 1'
_space_group_IT_number 1
_cell_length_a 6.543
_cell_length_b 9.422
_cell_length_c 9.422
_cell_angle_alpha 120.00
_cell_angle_beta 90.00
_cell_angle_gamma 90.00
loop_
_space_group_symop_operation_xyz
'x,y,z'
loop_
_atom_site_label
_atom_site_type_symbol
_atom_site_fract_x
_atom_site_fract_y
_atom_site_fract_z
_atom_site_occupancy
Sm1 Sm 0.880 0.333 0.667 1
Sm2 Sm 0.166 0.283 0.250 1
Sm3 Sm 0.834 0.033 0.283 1
Sm4 Sm 0.166 0.967 0.717 1
Sm5 Sm 0.120 0.667 0.333 1
Sm6 Sm 0.834 0.717 0.750 1
Sm7 Sm 0.834 0.250 0.967 1
Sm8 Sm 0.166 0.750 0.033 1
Tb1 Tb 0.339 0.347 0.909 1
Tb2 Tb 0.339 0.091 0.437 1
Tb3 Tb 0.339 0.563 0.653 1
Tb4 Tb 0.661 0.909 0.563 1
Tb5 Tb 0.661 0.437 0.347 1
Tb6 Tb 0.661 0.653 0.091 1
Dy1 Dy 0.500 0.000 0.000 1
# E   -4.50 eV per atom
# Energy above the most stable polymorph in this dataset   54 meV per atom

---

These records have DOS(E_F) values of 10.63, 22.09, 16.57, 13.09, 12.20, 23.44 states/eV/f.u., in the order they appear.
These records have formation energy values of 0.015, 0.129, 0.124, 0.016, -0.042, 0.177 eV/atom, in the order they appear.